# 1
8
Lattice="3.307 0.000 0.000 0.000 3.307 0.000 0.000 0.000 13.986" Properties=species:S:1:pos:R:3 comment="Er3HfIr4 | Alexandria via LeMat-Bulk | PBE | relaxed" dos_at_fermi_per_ev_atom=0.533 total_magnetization_mub_per_atom=0.0000 total_energy_ev_per_atom=-8.291 delta_e_f_ev_per_atom=-0.905 pbc="T T T"
Ir 0.000 0.000 12.435
Ir 0.000 0.000 1.552
Ir 0.000 0.000 5.196
Ir 0.000 0.000 8.790
Hf 1.653 1.653 0.000
Er 1.653 1.653 3.440
Er 1.653 1.653 6.993
Er 1.653 1.653 10.546


# 2
12
Lattice="4.440 -0.026 1.480 0.037 7.012 0.012 -0.003 -0.013 7.411" Properties=species:S:1:pos:R:3 comment="Er5HfIr6 | Alexandria via LeMat-Bulk | PBE | relaxed" dos_at_fermi_per_ev_atom=0.166 total_magnetization_mub_per_atom=0.0000 total_energy_ev_per_atom=-8.066 delta_e_f_ev_per_atom=-0.905 pbc="T T T"
Ir 3.751 5.273 3.642
Ir 3.732 1.687 3.635
Ir 2.229 1.632 0.743
Ir 2.249 5.354 0.749
Ir 0.743 5.286 5.268
Ir 0.723 1.700 5.261
Hf 0.000 0.000 0.000
Er 2.975 3.480 5.937
Er 1.474 -0.013 2.980
Er 0.019 3.506 0.006
Er 2.964 -0.026 5.911
Er 1.499 3.493 2.966


# 3
6
Lattice="5.283 0.000 0.000 2.641 4.575 0.000 2.641 1.525 4.313" Properties=species:S:1:pos:R:3 comment="ErHfIr4 | Alexandria via LeMat-Bulk | PBE | relaxed" dos_at_fermi_per_ev_atom=0.553 total_magnetization_mub_per_atom=0.0000 total_energy_ev_per_atom=-9.051 delta_e_f_ev_per_atom=-0.724 pbc="T T T"
Ir 5.283 3.050 0.541
Ir 5.283 1.526 2.695
Ir 6.602 3.812 2.695
Ir 3.963 3.812 2.695
Hf 0.000 0.000 0.000
Er 2.641 1.525 1.078


# 4
4
Lattice="4.719 0.000 0.000 2.359 4.087 0.000 2.359 1.362 3.853" Properties=species:S:1:pos:R:3 comment="ErHfIr2 | Alexandria via LeMat-Bulk | PBE | relaxed" dos_at_fermi_per_ev_atom=1.069 total_magnetization_mub_per_atom=0.0000 total_energy_ev_per_atom=-8.933 delta_e_f_ev_per_atom=-0.873 pbc="T T T"
Ir 0.000 0.000 0.000
Ir 4.719 2.724 1.926
Hf 2.359 1.362 0.963
Er 7.078 4.087 2.890


# 5
18
Lattice="-3.510 4.575 6.080 3.510 -4.575 6.080 3.510 4.575 -6.080" Properties=species:S:1:pos:R:3 comment="ErHfIr | Alexandria via LeMat-Bulk | PBE | relaxed" dos_at_fermi_per_ev_atom=1.134 total_magnetization_mub_per_atom=0.0000 total_energy_ev_per_atom=-8.544 polymorph_energy_mev_per_atom=0 delta_e_f_ev_per_atom=-0.751 pbc="T T T"
Er 3.783 2.288 -2.531
Er 0.273 2.288 8.610
Er 1.143 6.863 0.000
Er 1.143 2.288 0.000
Er 3.781 2.288 2.530
Er 0.271 2.288 3.549
Hf 3.456 4.575 0.000
Hf 3.456 0.000 0.000
Hf 2.623 4.575 4.531
Hf 2.623 4.575 -4.531
Hf -0.888 4.575 1.548
Hf 2.623 0.000 4.531
Ir 5.249 2.288 0.000
Ir 1.739 2.288 6.079
Ir 1.730 4.575 2.024
Ir 1.730 4.575 -2.024
Ir -1.780 4.575 4.056
Ir 1.730 0.000 2.024


# 6
10
Lattice="-3.224 0.680 -0.374 -0.261 -2.456 -2.213 -3.849 -11.180 12.860" Properties=species:S:1:pos:R:3 comment="Er4HfIr5 | Alexandria via LeMat-Bulk | PBE | relaxed" dos_at_fermi_per_ev_atom=0.488 total_magnetization_mub_per_atom=0.0000 total_energy_ev_per_atom=-8.150 delta_e_f_ev_per_atom=-0.899 pbc="T T T"
Er -0.754 -2.189 2.518
Er -1.534 -4.455 5.125
Er -2.315 -6.725 7.735
Er -3.095 -8.991 10.341
Hf 0.000 0.000 0.000
Ir -2.082 -1.875 -0.158
Ir -2.880 -4.192 2.506
Ir -3.667 -6.478 5.136
Ir -4.454 -8.765 7.766
Ir -5.251 -11.081 10.430


# 7
4
Lattice="3.308 0.000 0.000 0.000 3.308 0.000 0.000 0.000 6.843" Properties=species:S:1:pos:R:3 comment="ErHfIr2 | Alexandria via LeMat-Bulk | PBE | relaxed" dos_at_fermi_per_ev_atom=0.802 total_magnetization_mub_per_atom=0.0000 total_energy_ev_per_atom=-8.983 delta_e_f_ev_per_atom=-0.924 pbc="T T T"
Ir 0.000 0.000 5.284
Ir 0.000 0.000 1.559
Hf 1.654 1.654 0.000
Er 1.654 1.654 3.422


# 8
4
Lattice="4.676 0.000 0.000 2.338 4.049 0.000 2.338 1.350 3.818" Properties=species:S:1:pos:R:3 comment="ErHfNiIr | Alexandria via LeMat-Bulk | PBE | relaxed" dos_at_fermi_per_ev_atom=0.970 total_magnetization_mub_per_atom=0.0001 total_energy_ev_per_atom=-7.951 delta_e_f_ev_per_atom=-0.662 pbc="T T T"
Ni 2.338 1.350 0.954
Ir 7.014 4.049 2.863
Hf 4.676 2.700 1.909
Er 0.000 0.000 0.000